# MnSi2O6 | Alexandria via LeMat-Bulk | PBE+U | relaxed
# - size of the total moment (μB/f.u.) = 2.986
# - calculated total energy (eV per atom) = -7.54
data_MnSi2O6
_symmetry_space_group_name_H-M 'C 1 2/c 1'
_symmetry_Int_Tables_number 15
_cell_length_a 9.515
_cell_length_b 8.558
_cell_length_c 5.330
_cell_angle_alpha 90.00
_cell_angle_beta 110.43
_cell_angle_gamma 90.00
loop_
_symmetry_equiv_pos_as_xyz
'x,y,z'
'-x,-y,-z'
'-x,y,-z+1/2'
'x,-y,z+1/2'
'x+1/2,y+1/2,z'
'-x+1/2,-y+1/2,-z'
'-x+1/2,y+1/2,-z+1/2'
'x+1/2,-y+1/2,z+1/2'
loop_
_atom_site_label
_atom_site_fract_x
_atom_site_fract_y
_atom_site_fract_z
Mn1 0.000 0.093 0.250
Si1 0.198 0.411 0.250
O1 0.113 0.079 0.637
O2 0.141 0.231 0.214
O3 0.141 0.496 0.961